Entry from Alexandria: MgAl4Ag6 after structural relaxation (GGA-PBE).

abc: 6.5038 6.5038 10.2774
angles: 90.00 90.00 90.00
Closest atoms and distances in Å follow each position.
Space group I-42m (No. 121)
Unique sites:
Mg: 0.0000 0.0000 0.0000 (multiplicity 2)  8 Ag 3.14-3.25, 4 Al 3.27
Al: 0.1582 0.1582 0.4122 (multiplicity 8)  5 Ag 2.56-2.74, 2 Al 2.74
Ag: 0.0000 0.5000 0.0000 (multiplicity 4)  4 Al 2.61
Ag: 0.2282 0.2282 0.6853 (multiplicity 8)  3 Al 2.56-2.74

Calculated values
DOS at the Fermi energy = 0.40 states/eV/atom
M_tot = 0.00 μB per formula unit
formation energy = 0.077 eV/atom
uncorrected energy = -2.98 eV per atom

***

Entry from Alexandria: MgAlAg3 after structural relaxation (GGA-PBE).

abc: 4.8488 4.8488 4.8488
angles: 90.00 90.00 90.00
Closest atoms and distances in Å follow each position.
Space group Pm-3m (No. 221)
Unique sites:
Mg: 0.0000 0.0000 0.0000 (multiplicity 1)  12 Ag 3.43
Al: 0.5000 0.5000 0.5000 (multiplicity 1)  6 Ag 2.42
Ag: 0.0000 0.5000 0.5000 (multiplicity 3)  2 Al 2.42

Calculated values
DOS at the Fermi energy = 0.37 states/eV/atom
M_tot = 0.00 μB per formula unit
relative energy among the computed polymorphs = 470 meV per atom
formation energy = 0.336 eV/atom
uncorrected energy = -2.44 eV per atom

***

Entry from Alexandria: MgAl2Ag after structural relaxation (GGA-PBE).

abc: 2.9044 2.9044 8.4842
angles: 90.00 90.00 90.00
Closest atoms and distances in Å follow each position.
Space group P4mm (No. 99)
Unique sites:
Mg: 0.0000 0.0000 0.0000 (multiplicity 1)  4 Mg 2.90, 4 Ag 2.95, 4 Al 3.07
Al: 0.0000 0.0000 0.4855 (multiplicity 1)  4 Ag 2.87, 8 Al 2.90-2.92
Al: 0.5000 0.5000 0.7306 (multiplicity 1)  8 Al 2.90-2.92, 4 Mg 3.07
Ag: 0.5000 0.5000 0.2498 (multiplicity 1)  4 Al 2.87, 4 Ag 2.90, 4 Mg 2.95

Calculated values
DOS at the Fermi energy = 0.10 states/eV/atom
M_tot = 0.00 μB per formula unit
formation energy = -0.038 eV/atom
uncorrected energy = -3.02 eV per atom

***

Entry from Alexandria: Mg8Al2Ag after structural relaxation (GGA-PBE).

abc: 15.6580 4.8022 6.8814
angles: 90.00 115.84 90.00
Closest atoms and distances in Å follow each position.
Space group C2/m (No. 12)
Unique sites:
Mg: 0.0017 0.0000 0.2304 (multiplicity 4)  2 Al 3.02-3.05, 2 Ag 3.04, 7 Mg 3.04-3.17
Mg: 0.1447 0.5000 0.9185 (multiplicity 4)  1 Ag 2.78, 3 Al 2.91-3.04, 3 Mg 3.01-3.05
Mg: 0.1489 0.5000 0.3799 (multiplicity 4)  1 Ag 2.79, 3 Al 2.93-3.01, 3 Mg 3.01-3.07
Mg: 0.1712 0.0000 0.6765 (multiplicity 4)  8 Mg 3.01-3.07, 2 Al 3.15
Al: 0.1842 0.0000 0.1818 (multiplicity 4)  10 Mg 2.91-3.15
Ag: 0.0000 0.5000 0.5000 (multiplicity 2)  8 Mg 2.78-3.04

Calculated values
DOS at the Fermi energy = 0.38 states/eV/atom
M_tot = 0.00 μB per formula unit
formation energy = -0.022 eV/atom
uncorrected energy = -2.12 eV per atom

***

Entry from Alexandria: Mg5Al4Ag4 after structural relaxation (GGA-PBE).

abc: 11.2124 11.2124 3.9791
angles: 90.00 90.00 90.00
Closest atoms and distances in Å follow each position.
Space group I4/m (No. 87)
Unique sites:
Mg: 0.0000 0.0000 0.0000 (multiplicity 2)  4 Ag 2.75
Mg: 0.1327 0.7937 0.5000 (multiplicity 8)  5 Ag 2.85-3.01, 2 Al 3.15
Al: 0.0786 0.3985 0.5000 (multiplicity 8)  3 Ag 2.69-2.72, 5 Al 2.85-2.88
Ag: 0.0579 0.2383 0.0000 (multiplicity 8)  3 Al 2.69-2.72, 5 Mg 2.75-2.94

Calculated values
DOS at the Fermi energy = 0.31 states/eV/atom
M_tot = 0.00 μB per formula unit
formation energy = -0.103 eV/atom
uncorrected energy = -2.74 eV per atom

***

Entry from Alexandria: Mg2Al2Ag after structural relaxation (GGA-PBE).

abc: 7.7354 7.7354 3.4711
angles: 90.00 90.00 90.00
Closest atoms and distances in Å follow each position.
Space group P4/mbm (No. 127)
Unique sites:
Mg: 0.1738 0.3262 0.0000 (multiplicity 4)  6 Al 2.81-2.91, 2 Ag 2.86
Al: 0.1239 0.6239 0.5000 (multiplicity 4)  1 Al 2.71, 6 Mg 2.81-2.91
Ag: 0.0000 0.0000 0.0000 (multiplicity 2)  4 Mg 2.86

Calculated values
DOS at the Fermi energy = 0.26 states/eV/atom
M_tot = 0.00 μB per formula unit
relative energy among the computed polymorphs = 225 meV per atom
formation energy = 0.199 eV/atom
uncorrected energy = -2.51 eV per atom